Material: Cs3YNp3Se8
Method: DFT, PBE
State: relaxed

```
data_Cs3YNp3Se8
_cell_length_a 9.805
_cell_length_b 9.805
_cell_length_c 9.805
_cell_angle_alpha 51.31
_cell_angle_beta 51.31
_cell_angle_gamma 51.31
_space_group_name_H-M_alt 'P 1'
_space_group_IT_number 1
_space_group_name_Hall 'P 1'
loop_
_atom_site_label
_atom_site_type_symbol
_atom_site_fract_x
_atom_site_fract_y
_atom_site_fract_z
Cs1 Cs 0.000 0.500 0.500
Cs2 Cs 0.500 0.000 0.500
Cs3 Cs 0.500 0.500 0.000
Y1 Y 0.500 0.500 0.500
Np1 Np 0.000 0.000 0.500
Np2 Np 0.000 0.500 0.000
Np3 Np 0.500 0.000 0.000
Se1 Se 0.226 0.728 0.728
Se2 Se 0.228 0.228 0.228
Se3 Se 0.272 0.272 0.774
Se4 Se 0.272 0.774 0.272
Se5 Se 0.728 0.226 0.728
Se6 Se 0.728 0.728 0.226
Se7 Se 0.772 0.772 0.772
Se8 Se 0.774 0.272 0.272
```

Output
volume = 530.2 Å³/f.u.
space group = No. 166
formation energy (no corrections) = -1.37 eV/atom
magnetic moment = 11.0 μB/f.u.
total DFT energy (no corrections) = -96.26 eV per cell



Material: Cs4YNp3Se8
Method: DFT, PBE
State: relaxed

```
data_Cs4YNp3Se8
_cell_length_a 9.738
_cell_length_b 9.738
_cell_length_c 9.738
_cell_angle_alpha 52.68
_cell_angle_beta 52.68
_cell_angle_gamma 52.68
_space_group_name_H-M_alt 'P 1'
_space_group_IT_number 1
_space_group_name_Hall 'P 1'
loop_
_atom_site_label
_atom_site_type_symbol
_atom_site_fract_x
_atom_site_fract_y
_atom_site_fract_z
Cs1 Cs 0.000 0.000 0.000
Cs2 Cs 0.000 0.500 0.500
Cs3 Cs 0.500 0.000 0.500
Cs4 Cs 0.500 0.500 0.000
Y1 Y 0.500 0.500 0.500
Np1 Np 0.000 0.000 0.500
Np2 Np 0.000 0.500 0.000
Np3 Np 0.500 0.000 0.000
Se1 Se 0.228 0.228 0.228
Se2 Se 0.231 0.727 0.727
Se3 Se 0.273 0.273 0.769
Se4 Se 0.273 0.769 0.273
Se5 Se 0.727 0.231 0.727
Se6 Se 0.727 0.727 0.231
Se7 Se 0.769 0.273 0.273
Se8 Se 0.772 0.772 0.772
```

Output
volume = 540.7 Å³/f.u.
space group = No. 166
formation energy (no corrections) = -1.35 eV/atom
magnetic moment = 12.0 μB/f.u.
total DFT energy (no corrections) = -98.19 eV per cell



Material: CsNpZnSe4
Method: DFT, PBE
State: relaxed

```
data_CsNpZnSe4
_cell_length_a 6.597
_cell_length_b 6.941
_cell_length_c 9.832
_cell_angle_alpha 90.00
_cell_angle_beta 107.40
_cell_angle_gamma 90.00
_space_group_name_H-M_alt 'P 1'
_space_group_IT_number 1
_space_group_name_Hall 'P 1'
loop_
_atom_site_label
_atom_site_type_symbol
_atom_site_fract_x
_atom_site_fract_y
_atom_site_fract_z
Cs1 Cs 0.201 0.250 0.454
Cs2 Cs 0.799 0.750 0.546
Np1 Np 0.327 0.750 0.052
Np2 Np 0.673 0.250 0.948
Zn1 Zn 0.121 0.250 0.844
Zn2 Zn 0.879 0.750 0.156
Se1 Se 0.101 0.250 0.086
Se2 Se 0.237 0.750 0.313
Se3 Se 0.352 0.517 0.811
Se4 Se 0.352 0.983 0.811
Se5 Se 0.648 0.017 0.189
Se6 Se 0.648 0.483 0.189
Se7 Se 0.763 0.250 0.687
Se8 Se 0.899 0.750 0.914
```

Output
volume = 214.8 Å³/f.u.
space group = No. 11
formation energy (no corrections) = -0.90 eV/atom
magnetic moment = 2.0 μB/f.u.
total DFT energy (no corrections) = -70.64 eV per cell



Material: Cs2NpZn2Se4
Method: DFT, PBE
State: relaxed

```
data_Cs2NpZn2Se4
_cell_length_a 8.194
_cell_length_b 8.194
_cell_length_c 8.475
_cell_angle_alpha 107.06
_cell_angle_beta 107.06
_cell_angle_gamma 30.83
_space_group_name_H-M_alt 'P 1'
_space_group_IT_number 1
_space_group_name_Hall 'P 1'
loop_
_atom_site_label
_atom_site_type_symbol
_atom_site_fract_x
_atom_site_fract_y
_atom_site_fract_z
Cs1 Cs 0.133 0.133 0.054
Cs2 Cs 0.867 0.867 0.946
Np1 Np 0.000 0.000 0.500
Zn1 Zn 0.331 0.331 0.515
Zn2 Zn 0.669 0.669 0.485
Se1 Se 0.202 0.202 0.652
Se2 Se 0.480 0.480 0.727
Se3 Se 0.520 0.520 0.273
Se4 Se 0.798 0.798 0.348
```

Output
volume = 277.8 Å³/f.u.
space group = No. 12
formation energy (no corrections) = -0.90 eV/atom
magnetic moment = 4.6 μB/f.u.
total DFT energy (no corrections) = -39.27 eV per cell



Material: Cs3ZrNp3Se8
Method: DFT, PBE
State: relaxed

```
data_Cs3ZrNp3Se8
_cell_length_a 9.817
_cell_length_b 9.817
_cell_length_c 9.817
_cell_angle_alpha 50.38
_cell_angle_beta 50.38
_cell_angle_gamma 50.38
_space_group_name_H-M_alt 'P 1'
_space_group_IT_number 1
_space_group_name_Hall 'P 1'
loop_
_atom_site_label
_atom_site_type_symbol
_atom_site_fract_x
_atom_site_fract_y
_atom_site_fract_z
Cs1 Cs 0.000 0.500 0.500
Cs2 Cs 0.500 0.000 0.500
Cs3 Cs 0.500 0.500 0.000
Zr1 Zr 0.500 0.500 0.500
Np1 Np 0.000 0.000 0.500
Np2 Np 0.000 0.500 0.000
Np3 Np 0.500 0.000 0.000
Se1 Se 0.229 0.229 0.229
Se2 Se 0.241 0.719 0.719
Se3 Se 0.281 0.281 0.759
Se4 Se 0.281 0.759 0.281
Se5 Se 0.719 0.241 0.719
Se6 Se 0.719 0.719 0.241
Se7 Se 0.759 0.281 0.281
Se8 Se 0.771 0.771 0.771
```

Output
volume = 517.1 Å³/f.u.
space group = No. 166
formation energy (no corrections) = -1.27 eV/atom
magnetic moment = 12.0 μB/f.u.
total DFT energy (no corrections) = -96.92 eV per cell



Material: Cs3ZrNp2Se6
Method: DFT, PBE
State: relaxed

```
data_Cs3ZrNp2Se6
_cell_length_a 7.282
_cell_length_b 7.282
_cell_length_c 8.748
_cell_angle_alpha 97.98
_cell_angle_beta 97.98
_cell_angle_gamma 120.00
_space_group_name_H-M_alt 'P 1'
_space_group_IT_number 1
_space_group_name_Hall 'P 1'
loop_
_atom_site_label
_atom_site_type_symbol
_atom_site_fract_x
_atom_site_fract_y
_atom_site_fract_z
Cs1 Cs 0.000 0.000 0.000
Cs2 Cs 0.332 0.668 0.000
Cs3 Cs 0.668 0.332 0.000
Zr1 Zr 0.500 0.500 0.500
Np1 Np 0.166 0.834 0.500
Np2 Np 0.834 0.166 0.500
Se1 Se 0.118 0.438 0.315
Se2 Se 0.242 0.242 0.686
Se3 Se 0.438 0.118 0.315
Se4 Se 0.562 0.882 0.685
Se5 Se 0.758 0.758 0.314
Se6 Se 0.882 0.562 0.685
```

Output
volume = 386.0 Å³/f.u.
space group = No. 12
formation energy (no corrections) = -1.25 eV/atom
magnetic moment = 9.0 μB/f.u.
total DFT energy (no corrections) = -72.85 eV per cell



Question: volume of number 2 (Cs4YNp3Se8)?
Answer: 540.7 Å³/f.u.